# 1
A relaxed KTaSbTe2 crystal. Source: Alexandria via LeMat-Bulk, functional GGA-PBE.

It has space group P4/mmm (No. 123), with a = 5.704 Å, b = 5.704 Å, c = 5.476 Å, α = 90.00°, β = 90.00° and γ = 90.00°. The asymmetric unit holds K at (0.000, 0.000, 0.000), Ta at (0.500, 0.500, 0.500), Sb at (0.000, 0.000, 0.500) and Te at (0.000, 0.500, 0.000).

---

# 2
A relaxed K3Tb2SbTe6 crystal. Source: Alexandria via LeMat-Bulk, functional GGA-PBE.

It has space group C2/m (No. 12), with a = 7.841 Å, b = 13.581 Å, c = 8.630 Å, α = 90.00°, β = 107.64° and γ = 90.00°. The asymmetric unit holds K at (0.000, 0.000, 0.000), K at (0.000, 0.334, 0.000), Tb at (0.000, 0.167, 0.500), Sb at (0.000, 0.500, 0.500), Te at (0.235, 0.334, 0.707) and Te at (0.238, 0.000, 0.707).

---

# 3
A relaxed K3TbSb2Te6 crystal. Source: Alexandria via LeMat-Bulk, functional GGA-PBE.

It has space group C2/m (No. 12), with a = 7.839 Å, b = 13.576 Å, c = 8.648 Å, α = 90.00°, β = 107.58° and γ = 90.00°. The asymmetric unit holds K at (0.000, 0.000, 0.000), K at (0.000, 0.332, 0.000), Tb at (0.000, 0.500, 0.500), Sb at (0.000, 0.167, 0.500), Te at (0.234, 0.000, 0.706) and Te at (0.236, 0.333, 0.706).

---

# 4
A relaxed K4Tb3SbTe8 crystal. Source: Alexandria via LeMat-Bulk, functional GGA-PBE.

It has space group R-3m (No. 166, hexagonal axes), with a = 9.0411 Å, b = 9.0411 Å, c = 24.7122 Å, α = 90.00°, β = 90.00° and γ = 120.00°. The asymmetric unit holds K at (0.0000, 0.0000, 0.0000), K at (0.0000, 0.5000, 0.0000), Tb at (0.0000, 0.5000, 0.5000), Sb at (0.0000, 0.0000, 0.5000), Te at (0.0000, 0.0000, 0.2365) and Te at (0.0011, 0.5006, 0.2357).

---

no.,volume (Å³ per cell),E_tot (eV/atom)
1,178.15,-2.74
2,875.87,-4.07
3,877.37,-3.74
4,1749.45,-4.15